In3GeSe, optimized geometry, DFT GGA-PBE; energy above the most stable polymorph in this dataset = 0.00 eV/f.u.
1.0
5.366 0.000 0.000
0.000 5.366 0.000
0.000 0.000 5.366
In Ge Se
3 1 1
Direct
0.000 0.000 0.500
0.000 0.500 0.000
0.500 0.000 0.000
0.000 0.000 0.000
0.500 0.500 0.500